This record from Alexandria describes a relaxed CrCoO2F crystal. The functional is PBE+U.

E_tot	-5.73	eV per atom
mass density	4.87	g cm⁻³
space-group type	No. 123

Unit cell a=3.7871 b=3.7871 c=3.8532 alpha=90.00 beta=90.00 gamma=90.00
Site moments in Bohr magnetons follow the coordinates.
Sites, in units of the cell vectors:
Cr (0.5000, 0.5000, 0.5000)  4.04
Co (0.0000, 0.0000, 0.0000)  2.36
F (0.0000, 0.0000, 0.5000)  0.10
O (0.0000, 0.5000, 0.0000)  -0.11
O (0.5000, 0.0000, 0.0000)  -0.11